A relaxed CaHoZnNi crystal, computed with PBE.

Cell: 4.925 4.925 4.925 Å, 60.00 60.00 60.00°
Element x y z (fractional)
Ca 0.000 0.000 0.000
Ho 0.500 0.500 0.500
Zn 0.250 0.250 0.250
Ni 0.750 0.750 0.750

Output
Energy of formation from the pure elements, kJ/mol of atoms: -20.0
Final energy, eV per atom: -3.62
Size of the total moment, μB/cell: 0.0

***

A relaxed CeZn3In3 crystal, computed with PBE.

Cell: 7.356 7.356 7.356 Å, 90.00 90.00 90.00°
Element x y z (fractional)
Ce 0.000 0.000 0.000
Ce 0.500 0.500 0.500
Zn 0.000 0.250 0.500
Zn 0.000 0.750 0.500
Zn 0.250 0.500 0.000
Zn 0.500 0.000 0.250
Zn 0.500 0.000 0.750
Zn 0.750 0.500 0.000
In 0.000 0.500 0.250
In 0.000 0.500 0.750
In 0.250 0.000 0.500
In 0.500 0.250 0.000
In 0.500 0.750 0.000
In 0.750 0.000 0.500

Output
Energy of formation from the pure elements, kJ/mol of atoms: 27.3
Final energy, eV per atom: -2.28
Size of the total moment, μB/cell: 2.6

***

Question: Among the records above, which one has the lowest energy of formation from the pure elements?
Answer: CaHoZnNi